Entry 1:
A plane-wave DFT calculation with PBEsol was carried out for a relaxed Cr4ReOs crystal.

a b c (Å): 4.6787 4.6787 4.6787
angles (deg): 60.00 60.00 60.00
With the nearest neighbours (Å) after each atom.
Fractional coordinates of all 6 atoms:
Cr: 0.1244 0.1244 0.1244  6 Cr 2.33-2.35
Cr: 0.1244 0.1244 0.6269  6 Cr 2.33-2.35
Cr: 0.1244 0.6269 0.1244  6 Cr 2.33-2.35
Cr: 0.6269 0.1244 0.1244  6 Cr 2.33-2.35
Re: 0.7500 0.7500 0.7500  12 Cr 2.74, 4 Os 2.87
Os: 0.5000 0.5000 0.5000  12 Cr 2.74, 4 Re 2.87

Summary:
Raw total energy: -11.0895 eV per atom
Calculated formation energy: -0.004 eV per atom
Density: 13.4 Mg/m³
Magnetic moment: 0.00 μB/atom

***

Entry 2:
A plane-wave DFT calculation with PBEsol was carried out for a relaxed CsSnMo2I crystal.

a b c (Å): 5.3207 5.3207 6.6643
angles (deg): 90.00 90.00 90.00
With the nearest neighbours (Å) after each atom.
Fractional coordinates of all 5 atoms:
Cs: 0.0000 0.0000 0.0000  4 I 3.76
Sn: 0.5000 0.5000 0.5000  4 Mo 2.66
Mo: 0.0000 0.5000 0.5000  2 Sn 2.66
Mo: 0.5000 0.0000 0.5000  2 Sn 2.66
I: 0.5000 0.5000 0.0000  2 Sn 3.33

Summary:
Raw total energy: -4.7005 eV per atom
Density: 5.0 Mg/m³
Magnetic moment: 1.60 μB/atom
Formation energy (no corrections): 1400 meV/atom

***

Entry 3:
A plane-wave DFT calculation with PBEsol was carried out for a relaxed RbIN2F crystal.

a b c (Å): 5.2342 5.2342 4.5648
angles (deg): 90.00 90.00 90.00
With the nearest neighbours (Å) after each atom.
Fractional coordinates of all 5 atoms:
Rb: 0.0000 0.0000 0.0000  8 N 3.47, 4 I 3.70
I: 0.5000 0.5000 0.0000  2 F 2.28
N: 0.0000 0.5000 0.5000  2 F 2.62
N: 0.5000 0.0000 0.5000  2 F 2.62
F: 0.5000 0.5000 0.5000  2 I 2.28

Summary:
Raw total energy: -3.1057 eV per atom
Density: 3.4 Mg/m³
Magnetic moment: 1.12 μB/atom
Offset from the most stable computed form: 0.00 eV per formula unit
Formation energy (no corrections): 1249 meV/atom

***

Entry 4:
A plane-wave DFT calculation with PBEsol was carried out for a relaxed CaH4Se2O9 crystal.

a b c (Å): 5.7275 15.1294 8.0724
angles (deg): 90.00 92.46 90.00
With the nearest neighbours (Å) after each atom.
Fractional coordinates of all 64 atoms:
Ca: 0.2132 0.1029 0.0727  6 O 2.31-2.48
Ca: 0.2132 0.3971 0.5727  6 O 2.31-2.48
Ca: 0.7868 0.6029 0.4273  6 O 2.31-2.48
Ca: 0.7868 0.8971 0.9273  6 O 2.31-2.48
H: 0.1378 0.1975 0.4900  1 O 1.00
H: 0.1378 0.3025 0.9900  1 O 1.00
H: 0.1429 0.2036 0.6864  1 O 1.00
H: 0.1429 0.2964 0.1864  1 O 1.00
H: 0.2611 0.5121 0.9566  1 O 1.04
H: 0.2611 0.9879 0.4566  1 O 1.04
H: 0.4702 0.2013 0.5931  1 O 1.08
H: 0.4702 0.2987 0.0931  1 O 1.08
H: 0.5298 0.7013 0.9069  1 O 1.08
H: 0.5298 0.7987 0.4069  1 O 1.08
H: 0.7389 0.0121 0.5434  1 O 1.04
H: 0.7389 0.4879 0.0434  1 O 1.04
H: 0.8571 0.7036 0.8136  1 O 1.00
H: 0.8571 0.7964 0.3136  1 O 1.00
H: 0.8622 0.6975 0.0100  1 O 1.00
H: 0.8622 0.8025 0.5100  1 O 1.00
Se: 0.2385 0.5781 0.2197  4 O 1.64-1.73
Se: 0.2385 0.9219 0.7197  4 O 1.64-1.73
Se: 0.2881 0.6305 0.7158  4 O 1.63-1.71
Se: 0.2881 0.8695 0.2158  4 O 1.63-1.71
Se: 0.7119 0.1305 0.7842  4 O 1.63-1.71
Se: 0.7119 0.3695 0.2842  4 O 1.63-1.71
Se: 0.7615 0.0781 0.2803  4 O 1.64-1.73
Se: 0.7615 0.4219 0.7803  4 O 1.64-1.73
O: 0.0020 0.6394 0.1826  1 Se 1.66, 1 H 1.81
O: 0.0020 0.8606 0.6826  1 Se 1.66, 1 H 1.81
O: 0.0247 0.6644 0.6520  1 Se 1.65, 1 H 1.76
O: 0.0247 0.8356 0.1520  1 Se 1.65, 1 H 1.76
O: 0.1912 0.5275 0.3981  1 Se 1.66
O: 0.1912 0.9725 0.8981  1 Se 1.66
O: 0.2240 0.2256 0.5867  2 H 1.00
O: 0.2240 0.2744 0.0867  2 H 1.00
O: 0.2444 0.0080 0.5790  1 H 1.04
O: 0.2444 0.4920 0.0790  1 H 1.04
O: 0.2774 0.5235 0.7656  1 H 1.56, 1 Se 1.67
O: 0.2774 0.9765 0.2656  1 H 1.56, 1 Se 1.67
O: 0.3460 0.6849 0.8987  1 H 1.08
O: 0.3460 0.8151 0.3987  1 H 1.08
O: 0.4825 0.6343 0.2250  1 Se 1.64
O: 0.4825 0.8657 0.7250  1 Se 1.64
O: 0.4990 0.6542 0.5938  1 Se 1.63
O: 0.4990 0.8458 0.0938  1 Se 1.63
O: 0.5010 0.1542 0.9062  1 Se 1.63
O: 0.5010 0.3458 0.4062  1 Se 1.63
O: 0.5175 0.1343 0.2750  1 Se 1.64
O: 0.5175 0.3657 0.7750  1 Se 1.64
O: 0.6540 0.1849 0.6013  1 H 1.08
O: 0.6540 0.3151 0.1013  1 H 1.08
O: 0.7226 0.0235 0.7344  1 H 1.56, 1 Se 1.67
O: 0.7226 0.4765 0.2344  1 H 1.56, 1 Se 1.67
O: 0.7556 0.5080 0.9210  1 H 1.04
O: 0.7556 0.9920 0.4210  1 H 1.04
O: 0.7760 0.7256 0.9133  2 H 1.00
O: 0.7760 0.7744 0.4133  2 H 1.00
O: 0.8088 0.0275 0.1019  1 Se 1.66
O: 0.8088 0.4725 0.6019  1 Se 1.66
O: 0.9753 0.1644 0.8480  1 Se 1.65, 1 H 1.76
O: 0.9753 0.3356 0.3480  1 Se 1.65, 1 H 1.76
O: 0.9980 0.1394 0.3174  1 Se 1.66, 1 H 1.81
O: 0.9980 0.3606 0.8174  1 Se 1.66, 1 H 1.81

Summary:
Raw total energy: -5.5405 eV per atom
Density: 3.3 Mg/m³
Magnetic moment: 0.00 μB/atom

***

Entry 5:
A plane-wave DFT calculation with PBEsol was carried out for a relaxed Gd2AgIr crystal.

a b c (Å): 4.9312 4.9312 4.9312
angles (deg): 60.00 60.00 60.00
With the nearest neighbours (Å) after each atom.
Fractional coordinates of all 4 atoms:
Gd: 0.2500 0.2500 0.2500  4 Ir 3.02, 4 Ag 3.02
Gd: 0.7500 0.7500 0.7500  4 Ir 3.02, 4 Ag 3.02
Ag: 0.0000 0.0000 0.0000  8 Gd 3.02
Ir: 0.5000 0.5000 0.5000  8 Gd 3.02

Summary:
Raw total energy: -11.0432 eV per atom
Calculated formation energy: -0.535 eV per atom
Density: 12.0 Mg/m³
Magnetic moment: 3.55 μB/atom

***

Entry 6:
A plane-wave DFT calculation with PBEsol was carried out for a relaxed AlCuNi crystal.

a b c (Å): 4.0594 4.0594 4.9326
angles (deg): 90.00 90.00 120.00
With the nearest neighbours (Å) after each atom.
Fractional coordinates of all 6 atoms:
Al: 0.3333 0.6667 0.2500  5 Ni 2.34-2.47
Al: 0.6667 0.3333 0.7500  5 Ni 2.34-2.47
Cu: 0.0000 0.0000 0.0000  2 Cu 2.47, 6 Ni 2.65, 6 Al 2.65
Cu: 0.0000 0.0000 0.5000  2 Cu 2.47, 6 Al 2.65, 6 Ni 2.65
Ni: 0.3333 0.6667 0.7500  5 Al 2.34-2.47
Ni: 0.6667 0.3333 0.2500  5 Al 2.34-2.47

Summary:
Raw total energy: -5.2329 eV per atom
Calculated formation energy: -0.372 eV per atom
Density: 7.0 Mg/m³
Magnetic moment: 0.00 μB/atom
Offset from the most stable computed form: 0.00 eV per formula unit

***

Entry 7:
A plane-wave DFT calculation with PBEsol was carried out for a relaxed CrIr2 crystal.

a b c (Å): 4.6185 4.6185 4.6185
angles (deg): 146.59 132.66 59.18
With the nearest neighbours (Å) after each atom.
Fractional coordinates of all 3 atoms:
Cr: 0.0000 0.0000 0.0000  10 Ir 2.63-2.71, 2 Cr 2.66
Ir: 0.3380 0.3380 0.0000  7 Ir 2.60-2.68, 5 Cr 2.63-2.71
Ir: 0.6620 0.6620 0.0000  7 Ir 2.60-2.68, 5 Cr 2.63-2.71

Summary:
Raw total energy: -10.0967 eV per atom
Calculated formation energy: -0.134 eV per atom
Density: 18.3 Mg/m³
Magnetic moment: 0.00 μB/atom

***

Entry 8:
A plane-wave DFT calculation with PBEsol was carried out for a relaxed Li2SiMo crystal.

a b c (Å): 3.5007 3.5007 4.4254
angles (deg): 90.00 90.00 90.00
With the nearest neighbours (Å) after each atom.
Fractional coordinates of all 4 atoms:
Li: 0.0000 0.5000 0.0000  4 Li 2.48
Li: 0.5000 0.0000 0.0000  4 Li 2.48
Si: 0.0000 0.0000 0.5000  4 Mo 2.48
Mo: 0.5000 0.5000 0.5000  4 Si 2.48

Summary:
Raw total energy: -5.3725 eV per atom
Density: 4.2 Mg/m³
Magnetic moment: 0.00 μB/atom
Formation energy (no corrections): -11 meV/atom

***

Entry 9:
A plane-wave DFT calculation with PBEsol was carried out for a relaxed Li2FeHg crystal.

a b c (Å): 2.7346 4.5568 4.8888
angles (deg): 90.00 95.67 90.00
With the nearest neighbours (Å) after each atom.
Fractional coordinates of all 4 atoms:
Li: 0.2447 0.0000 0.2626  5 Li 2.59-2.79, 2 Fe 2.67, 2 Hg 2.74
Li: 0.7553 0.0000 0.7374  5 Li 2.59-2.79, 2 Fe 2.67, 2 Hg 2.74
Fe: 0.0000 0.5000 0.5000  4 Li 2.67, 4 Hg 2.68-2.92, 2 Fe 2.73
Hg: 0.5000 0.5000 0.0000  4 Fe 2.68-2.92, 2 Hg 2.73, 4 Li 2.74

Summary:
Raw total energy: -3.2150 eV per atom
Calculated formation energy: 0.151 eV per atom
Density: 7.4 Mg/m³
Magnetic moment: 0.59 μB/atom

***

Entry 10:
A plane-wave DFT calculation with PBEsol was carried out for a relaxed PuPd3 crystal.

a b c (Å): 4.0653 4.0653 4.0653
angles (deg): 90.00 90.00 90.00
With the nearest neighbours (Å) after each atom.
Fractional coordinates of all 4 atoms:
Pu: 0.0000 0.0000 0.0000  12 Pd 2.87
Pd: 0.0000 0.5000 0.5000  4 Pu 2.87, 8 Pd 2.87
Pd: 0.5000 0.0000 0.5000  4 Pu 2.87, 8 Pd 2.87
Pd: 0.5000 0.5000 0.0000  4 Pu 2.87, 8 Pd 2.87

Summary:
Raw total energy: -8.6938 eV per atom
Calculated formation energy: -0.436 eV per atom
Density: 13.9 Mg/m³
Magnetic moment: 1.14 μB/atom

***

Entry 11:
A plane-wave DFT calculation with PBEsol was carried out for a relaxed Dy3Lu crystal.

a b c (Å): 5.9563 5.9563 5.9563
angles (deg): 131.76 131.76 70.60
With the nearest neighbours (Å) after each atom.
Fractional coordinates of all 4 atoms:
Dy: 0.0000 0.0000 0.0000  8 Dy 3.44, 4 Lu 3.44
Dy: 0.2500 0.7500 0.5000  8 Dy 3.44, 4 Lu 3.44
Dy: 0.7500 0.2500 0.5000  8 Dy 3.44, 4 Lu 3.44
Lu: 0.5000 0.5000 0.0000  12 Dy 3.44

Summary:
Raw total energy: -4.9329 eV per atom
Calculated formation energy: 0.019 eV per atom
Density: 9.6 Mg/m³
Magnetic moment: 0.00 μB/atom
Offset from the most stable computed form: 0.04 eV per formula unit

***

Entry 12:
A plane-wave DFT calculation with PBEsol was carried out for a relaxed Ba2CdTc crystal.

a b c (Å): 3.6183 3.6661 8.9786
angles (deg): 90.00 90.00 90.00
With the nearest neighbours (Å) after each atom.
Fractional coordinates of all 4 atoms:
Ba: 0.0000 0.0000 0.2191  4 Tc 3.24, 4 Cd 3.60, 2 Ba 3.62
Ba: 0.0000 0.0000 0.7809  4 Tc 3.24, 4 Cd 3.60, 2 Ba 3.62
Cd: 0.5000 0.5000 0.5000  8 Ba 3.60, 4 Cd 3.62-3.67
Tc: 0.5000 0.5000 0.0000  8 Ba 3.24, 2 Tc 3.62

Summary:
Raw total energy: -3.5826 eV per atom
Calculated formation energy: 0.608 eV per atom
Density: 6.8 Mg/m³
Magnetic moment: 0.24 μB/atom
Offset from the most stable computed form: 0.41 eV per formula unit